# 1
Pr4In2Sn: optimized geometry, GGA-PBE.

a = 9.660 Å, b = 9.660 Å, c = 9.696 Å
α = 90.00°, β = 90.00°, γ = 90.00°
Space group I-42d (No. 122)
One atom of each set of equivalent atoms:
Pr: 0.072 0.677 0.450 [16 per cell]
In: 0.122 0.750 0.125 [8 per cell]
Sn: 0.000 0.000 0.500 [4 per cell]

## Properties
Crystal system: tetragonal
Final energy: -4.552 eV per atom
Total moment: 0.0000 μB/atom
DFT formation energy: -0.4667 eV per atom
Offset from the most stable computed form: 0 meV per atom
DOS at the Fermi energy: 29.0 states/eV/cell

---

# 2
Tb2TlTe: optimized geometry, GGA-PBE.

a = 4.493 Å, b = 23.960 Å, c = 4.345 Å
α = 90.00°, β = 90.00°, γ = 90.00°
Space group Cmcm (No. 63)
One atom of each set of equivalent atoms:
Tb: 0.000 0.064 0.250 [4 per cell]
Tb: 0.000 0.323 0.250 [4 per cell]
Tl: 0.000 0.453 0.250 [4 per cell]
Te: 0.000 0.192 0.250 [4 per cell]

## Properties
Crystal system: orthorhombic
Formation energy without anion corrections: -0.866 eV/atom
Final energy: -4.558 eV per atom
Total moment: 0.0000 μB/atom
Offset from the most stable computed form: 0 meV per atom
DOS at the Fermi energy: 7.4 states/eV/cell

---

final energy of number 1 (Pr4In2Sn)?
-4.552 eV per atom